The following is a DFT calculation (PBE) of an optimized crystal structure of CaSc2Hg.

abc: 6.252 6.252 6.252
angles: 144.94 132.01 60.80
Fractional positions:
Sc  0.033  0.033  0.000
Sc  0.755  0.255  0.500
Ca  0.473  0.473  0.000
Hg  0.239  0.739  0.500

Summary:
density = 5317 kg/m³
energy relative to the elements = -0.08 eV/atom
electronic total energy = -15.3 eV per cell
SG = Imm2, No. 44
crystal system = orthorhombic